VASP calculation (PBE) on a relaxed structure of Li2BiI.

POSCAR file:
```
Li2BiI
1.0
1.9406 1.1204 8.9877
-1.9406 1.1204 8.9877
0.0000 -2.2408 8.9877
Li Bi I
2 1 1
Direct
0.1021 0.1021 0.1021
0.8979 0.8979 0.8979
0.0000 0.0000 0.0000
0.5000 0.5000 0.5000
```

ρ   5.0 g/cm³
V   117 Å³/cell
N(E_F)   0.12 states/eV per atom
Electronic total energy   -2.854 eV/atom
E_form (uncorrected)   -0.54 eV per atom
Space-group type   R-3m (166)
Size of the total moment   0.0000 μB/atom